# PuGa6 | the Alexandria database | PBE | optimized geometry
# ΔE_f ... -0.21 eV per atom
# Calculated volume ... 273.3 Å³/cell
# Space group ... P4/nbm (125)
# N(E_F) ... 12.79 states/eV/f.u.
# Calculated total energy ... -4.856 eV per atom
# ΔE to the lowest computed polymorph ... 0 meV/atom
# Total magnetic moment ... 5.5 μB/f.u.
data_PuGa6
_chemical_formula_sum 'Pu2 Ga12'
_cell_length_a 5.9538
_cell_length_b 5.9538
_cell_length_c 7.7093
_cell_angle_alpha 90.00
_cell_angle_beta 90.00
_cell_angle_gamma 90.00
_symmetry_space_group_name_H-M 'P 1'
_symmetry_Int_Tables_number 1
loop_
_symmetry_equiv_pos_as_xyz
'x,y,z'
loop_
_atom_site_label
_atom_site_type_symbol
_atom_site_fract_x
_atom_site_fract_y
_atom_site_fract_z
Pu1 Pu 0.5000 0.0000 0.0000
Pu2 Pu 0.0000 0.5000 0.0000
Ga1 Ga 0.5000 0.5000 0.1592
Ga2 Ga 0.0000 0.0000 0.1592
Ga3 Ga 0.0000 0.0000 0.8408
Ga4 Ga 0.5000 0.5000 0.8408
Ga5 Ga 0.8159 0.6841 0.3512
Ga6 Ga 0.3159 0.8159 0.3512
Ga7 Ga 0.6841 0.1841 0.3512
Ga8 Ga 0.1841 0.3159 0.3512
Ga9 Ga 0.6841 0.8159 0.6488
Ga10 Ga 0.1841 0.6841 0.6488
Ga11 Ga 0.8159 0.3159 0.6488
Ga12 Ga 0.3159 0.1841 0.6488


# Pu3Ga11 | the Alexandria database | PBE | optimized geometry
# ΔE_f ... -0.31 eV per atom
# Calculated volume ... 271.7 Å³/cell
# Space group ... Immm (71)
# N(E_F) ... 35.43 states/eV/f.u.
# Calculated total energy ... -5.757 eV per atom
# Total magnetic moment ... 5.5 μB/f.u.
data_Pu3Ga11
_chemical_formula_sum 'Pu3 Ga11'
_cell_length_a 4.2794
_cell_length_b 8.3515
_cell_length_c 8.3515
_cell_angle_alpha 73.99
_cell_angle_beta 75.16
_cell_angle_gamma 75.16
_symmetry_space_group_name_H-M 'P 1'
_symmetry_Int_Tables_number 1
loop_
_symmetry_equiv_pos_as_xyz
'x,y,z'
loop_
_atom_site_label
_atom_site_type_symbol
_atom_site_fract_x
_atom_site_fract_y
_atom_site_fract_z
Pu1 Pu 0.0000 0.0000 0.0000
Pu2 Pu 0.6835 0.3165 0.3165
Pu3 Pu 0.3165 0.6835 0.6835
Ga1 Ga 0.0000 0.5000 0.5000
Ga2 Ga 0.5000 0.2917 0.7083
Ga3 Ga 0.5000 0.7083 0.2917
Ga4 Ga 0.6599 0.9654 0.7149
Ga5 Ga 0.3401 0.0346 0.2851
Ga6 Ga 0.6599 0.7149 0.9654
Ga7 Ga 0.3401 0.2851 0.0346
Ga8 Ga 0.8536 0.8736 0.4193
Ga9 Ga 0.1464 0.1264 0.5807
Ga10 Ga 0.8536 0.4193 0.8736
Ga11 Ga 0.1464 0.5807 0.1264